## AsIr3C (PBE-GGA)

Data for AsIr3C after structural relaxation.

Cell lengths 4.5512, 4.5512, 4.5512 Å; angles 90.00, 90.00, 90.00 degrees
Space group Pm-3m (No. 221)
Inequivalent atoms, fractional coordinates:
1 As 0.0000 0.0000 0.0000 (multiplicity 1)
2 Ir 0.0000 0.0000 0.5000 (multiplicity 3)
3 C 0.5000 0.5000 0.5000 (multiplicity 1)

Properties
The theoretical density is 11.69 g/cm³. The density of states at the Fermi level comes out at 4.108 states/eV/f.u. For the energy above the most stable polymorph in this dataset, the calculation gives 1846.8 meV/atom. The total magnetic moment is 0.00 μB/f.u. As for the calculated total energy: -5.62 eV per atom. As for the energy of formation: 2471 meV/atom.

***

## ErTiAu2 (PBE-GGA)

Data for ErTiAu2 after structural relaxation.

Cell lengths 4.5952, 4.5952, 13.6792 Å; angles 90.00, 90.00, 120.00 degrees
Space group R-3m (No. 166, hexagonal axes)
Inequivalent atoms, fractional coordinates:
1 Er 0.0000 0.0000 0.0000 (multiplicity 3)
2 Ti 0.0000 0.0000 0.5000 (multiplicity 3)
3 Au 0.0000 0.0000 0.2197 (multiplicity 6)

Properties
The theoretical density is 12.13 g/cm³. The density of states at the Fermi level comes out at 3.764 states/eV/f.u. For the energy above the most stable polymorph in this dataset, the calculation gives 20.8 meV/atom. The total magnetic moment is 0.01 μB/f.u. As for the calculated total energy: -5.29 eV per atom. As for the energy of formation: -539 meV/atom.

***

## PuBi2O6 (PBE-GGA)

Data for PuBi2O6 after structural relaxation.

Cell lengths 3.9571, 5.4853, 11.3776 Å; angles 90.00, 90.00, 90.00 degrees
Space group Immm (No. 71)
Inequivalent atoms, fractional coordinates:
1 Pu 0.0000 0.0000 0.0000 (multiplicity 2)
2 Bi 0.0000 0.0000 0.3371 (multiplicity 4)
3 O 0.0000 0.2393 0.1526 (multiplicity 8)
4 O 0.0000 0.2716 0.5000 (multiplicity 4)

Properties
The uncorrected formation energy is -1.766 eV/atom. The theoretical density is 10.19 g/cm³. The density of states at the Fermi level comes out at 4.736 states/eV/f.u. The total magnetic moment is 1.99 μB/f.u. As for the calculated total energy: -7.53 eV per atom.

***

## LiSc2Ti2 (PBE-GGA)

Data for LiSc2Ti2 after structural relaxation.

Cell lengths 8.4115, 8.4115, 3.0824 Å; angles 90.00, 90.00, 90.00 degrees
Space group P4/mbm (No. 127)
Inequivalent atoms, fractional coordinates:
1 Li 0.0000 0.0000 0.0000 (multiplicity 2)
2 Sc 0.1841 0.3159 0.0000 (multiplicity 4)
3 Ti 0.1068 0.6068 0.5000 (multiplicity 4)

Properties
The theoretical density is 2.93 g/cm³. The density of states at the Fermi level comes out at 14.868 states/eV/f.u. For the energy above the most stable polymorph in this dataset, the calculation gives 34.9 meV/atom. The total magnetic moment is 0.00 μB/f.u. As for the calculated total energy: -5.72 eV per atom. As for the energy of formation: 356 meV/atom.

***

## Sr2Al2InPt5 (PBE-GGA)

Data for Sr2Al2InPt5 after structural relaxation.

Cell lengths 10.5092, 10.5092, 3.5392 Å; angles 90.00, 90.00, 90.00 degrees
Space group P4/mbm (No. 127)
Inequivalent atoms, fractional coordinates:
1 Sr 0.1783 0.3217 0.0000 (multiplicity 4)
2 Al 0.1216 0.6216 0.0000 (multiplicity 4)
3 In 0.0000 0.0000 0.0000 (multiplicity 2)
4 Pt 0.0000 0.5000 0.5000 (multiplicity 2)
5 Pt 0.0603 0.7872 0.5000 (multiplicity 8)

Properties
The theoretical density is 11.21 g/cm³. The density of states at the Fermi level comes out at 4.812 states/eV/f.u. The total magnetic moment is 0.00 μB/f.u. As for the calculated total energy: -5.16 eV per atom. As for the energy of formation: -785 meV/atom.

***

## HfMg3O4 (PBE-GGA)

Data for HfMg3O4 after structural relaxation.

Cell lengths 4.4164, 4.4164, 4.4164 Å; angles 90.00, 90.00, 90.00 degrees
Space group Pm-3m (No. 221)
Inequivalent atoms, fractional coordinates:
1 Hf 0.0000 0.0000 0.0000 (multiplicity 1)
2 Mg 0.0000 0.5000 0.5000 (multiplicity 3)
3 O 0.0000 0.0000 0.5000 (multiplicity 3)
4 O 0.5000 0.5000 0.5000 (multiplicity 1)

Properties
The uncorrected formation energy is -2.296 eV/atom. The theoretical density is 6.08 g/cm³. The density of states at the Fermi level comes out at 2.506 states/eV/f.u. The total magnetic moment is 0.18 μB/f.u. As for the calculated total energy: -6.62 eV per atom.